Arrangement 1

Material: LiZn4Cu6
Method: DFT, PBE
State: relaxed

Summary:
The magnetic moment comes out at 0.00 μB per formula unit.

```
data_LiZn4Cu6
_chemical_formula_sum 'Li4 Zn16 Cu24'
_space_group_name_H-M_alt 'C m c m'
_space_group_IT_number 63
_space_group_name_Hall '-C 2c 2'
_cell_length_a 4.1298
_cell_length_b 7.1612
_cell_length_c 19.5359
_cell_angle_alpha 90.00
_cell_angle_beta 90.00
_cell_angle_gamma 90.00
loop_
_atom_site_label
_atom_site_type_symbol
_atom_site_fract_x
_atom_site_fract_y
_atom_site_fract_z
Li1 Li 0.0000 0.1657 0.2500
Zn1 Zn 0.0000 0.1668 0.5458
Zn2 Zn 0.0000 0.4995 0.1289
Cu1 Cu 0.0000 0.1664 0.0926
Cu2 Cu 0.0000 0.1677 0.6832
Cu3 Cu 0.0000 0.4987 0.2500
Cu4 Cu 0.0000 0.5000 0.0000
```

Arrangement 2

Material: LiZn4Cu6
Method: DFT, PBE
State: relaxed

Summary:
The magnetic moment comes out at 0.00 μB per formula unit.

```
data_LiZn4Cu6
_chemical_formula_sum 'Li2 Zn8 Cu12'
_space_group_name_H-M_alt 'I -4 2 m'
_space_group_IT_number 121
_space_group_name_Hall 'I -4 2'
_cell_length_a 5.9784
_cell_length_b 5.9784
_cell_length_c 9.5929
_cell_angle_alpha 90.00
_cell_angle_beta 90.00
_cell_angle_gamma 90.00
loop_
_atom_site_label
_atom_site_type_symbol
_atom_site_fract_x
_atom_site_fract_y
_atom_site_fract_z
Li1 Li 0.0000 0.0000 0.0000
Zn1 Zn 0.2277 0.2277 0.3159
Cu1 Cu 0.0000 0.5000 0.0000
Cu2 Cu 0.1592 0.1592 0.5857
```

Relative stability in eV/atom, measured from the most stable structure: arrangement 1 0.000; arrangement 2 0.154